Entry 1:
Density functional theory data (GGA-PBE) for Pm4HgN after structural relaxation.

Cell and atoms, written as POSCAR:
```
Pm4HgN
1.0
4.721 -4.967 0.000
4.721 4.967 0.000
0.000 0.000 3.745
Pm Hg N
4 1 1
Direct
0.176 0.176 0.500
0.246 0.754 0.000
0.754 0.246 0.000
0.824 0.824 0.500
0.500 0.500 0.500
0.000 0.000 0.000
```

Uncorrected energy ... -30.45 eV per cell
Symmetry ... No. 65
Formation energy (no corrections) ... -470 meV per atom

Entry 2:
Density functional theory data (GGA-PBE) for Pm5Hg2N2 after structural relaxation.

Cell and atoms, written as POSCAR:
```
Pm5Hg2N2
1.0
-9.356 3.608 3.507
9.356 -3.608 3.507
9.356 3.608 -3.507
Pm Hg N
10 4 4
Direct
0.012 0.125 0.387
0.222 0.405 0.095
0.222 0.627 0.317
0.246 0.011 0.257
0.246 0.489 0.736
0.310 0.127 0.905
0.310 0.905 0.683
0.738 0.625 0.613
0.754 0.511 0.264
0.754 0.989 0.743
0.728 0.138 0.379
0.728 0.850 0.091
0.759 0.350 0.621
0.759 0.638 0.909
0.127 0.957 0.670
0.251 0.251 0.000
0.251 0.751 0.500
0.287 0.457 0.330
```

Uncorrected energy ... -96.16 eV per cell
Symmetry ... No. 46
Formation energy (no corrections) ... -786 meV per atom

Entry 3:
Density functional theory data (GGA-PBE) for Pm2HgN after structural relaxation.

Cell and atoms, written as POSCAR:
```
Pm2HgN
1.0
1.830 1.056 7.921
-1.830 1.056 7.921
0.000 -2.113 7.921
Pm Hg N
2 1 1
Direct
0.225 0.225 0.225
0.775 0.775 0.775
0.000 0.000 0.000
0.500 0.500 0.500
```

Energy above the most stable polymorph in this dataset ... 0.297 eV per formula unit
Uncorrected energy ... -21.62 eV per cell
Symmetry ... No. 166
Formation energy (no corrections) ... -874 meV per atom